1.
# PI2NCl, relaxed, DFT GGA-PBE
data_PI2NCl
_chemical_formula_sum 'P1 I2 N1 Cl1'
_space_group_name_H-M_alt 'P 1'
_space_group_IT_number 1
_cell_length_a 6.348
_cell_length_b 6.348
_cell_length_c 3.212
_cell_angle_alpha 90.00
_cell_angle_beta 90.00
_cell_angle_gamma 90.00
loop_
_space_group_symop_operation_xyz
'x,y,z'
loop_
_atom_site_label
_atom_site_fract_x
_atom_site_fract_y
_atom_site_fract_z
P1 0.000 0.000 0.000
I1 0.000 0.500 0.000
I2 0.500 0.000 0.000
N1 0.000 0.000 0.500
Cl1 0.500 0.500 0.500
# - Raw formation energy: 268 kJ/mol of formula units
# - SG: P4/mmm (123)
# - V: 25.9 Å³ per atom
# - Energy above the most stable polymorph in this dataset: 0.00 eV/f.u.
# - DOS(E_F): 5.16 states/eV/cell
# - Calculated total energy: -3.18 eV per atom



2.
# PaB2Ir4, relaxed, DFT GGA-PBE
data_PaB2Ir4
_chemical_formula_sum 'Pa1 B2 Ir4'
_space_group_name_H-M_alt 'P 1'
_space_group_IT_number 1
_cell_length_a 6.787
_cell_length_b 6.787
_cell_length_c 3.865
_cell_angle_alpha 90.00
_cell_angle_beta 90.00
_cell_angle_gamma 146.99
loop_
_space_group_symop_operation_xyz
'x,y,z'
loop_
_atom_site_label
_atom_site_fract_x
_atom_site_fract_y
_atom_site_fract_z
Pa1 0.000 0.000 0.000
B1 0.425 0.575 0.500
B2 0.575 0.425 0.500
Ir1 0.173 0.827 0.500
Ir2 0.336 0.664 0.000
Ir3 0.664 0.336 0.000
Ir4 0.827 0.173 0.500
# - SG: Cmmm (65)
# - Energy of formation from the pure elements: -0.5655 eV/atom
# - V: 13.9 Å³ per atom
# - DOS(E_F): 3.88 states/eV/cell
# - Calculated total energy: -8.89 eV per atom



3.
# Rb5TiS5, relaxed, DFT GGA-PBE
data_Rb5TiS5
_chemical_formula_sum 'Rb5 Ti1 S5'
_space_group_name_H-M_alt 'P 1'
_space_group_IT_number 1
_cell_length_a 7.960
_cell_length_b 7.960
_cell_length_c 8.773
_cell_angle_alpha 107.64
_cell_angle_beta 107.64
_cell_angle_gamma 46.09
loop_
_space_group_symop_operation_xyz
'x,y,z'
loop_
_atom_site_label
_atom_site_fract_x
_atom_site_fract_y
_atom_site_fract_z
Rb1 0.000 0.000 0.000
Rb2 0.308 0.308 0.200
Rb3 0.332 0.332 0.656
Rb4 0.668 0.668 0.344
Rb5 0.692 0.692 0.800
Ti1 0.000 0.000 0.500
S1 0.121 0.121 0.372
S2 0.127 0.127 0.762
S3 0.500 0.500 0.500
S4 0.873 0.873 0.238
S5 0.879 0.879 0.628
# - Raw formation energy: -981 kJ/mol of formula units
# - SG: C2/m (12)
# - V: 34.4 Å³ per atom
# - DOS(E_F): 9.98 states/eV/cell
# - Calculated total energy: -3.96 eV per atom



4.
# CaAsIrSe2, relaxed, DFT GGA-PBE
data_CaAsIrSe2
_chemical_formula_sum 'Ca1 As1 Ir1 Se2'
_space_group_name_H-M_alt 'P 1'
_space_group_IT_number 1
_cell_length_a 5.229
_cell_length_b 5.229
_cell_length_c 5.296
_cell_angle_alpha 90.00
_cell_angle_beta 90.00
_cell_angle_gamma 90.00
loop_
_space_group_symop_operation_xyz
'x,y,z'
loop_
_atom_site_label
_atom_site_fract_x
_atom_site_fract_y
_atom_site_fract_z
Ca1 0.000 0.000 0.000
As1 0.000 0.000 0.500
Ir1 0.500 0.500 0.500
Se1 0.000 0.500 0.000
Se2 0.500 0.000 0.000
# - Raw formation energy: 607 kJ/mol of formula units
# - SG: P4/mmm (123)
# - V: 29.0 Å³ per atom
# - Energy above the most stable polymorph in this dataset: 7.78 eV/f.u.
# - DOS(E_F): 7.00 states/eV/cell
# - Calculated total energy: -3.24 eV per atom



no.,M_tot (μB/f.u.)
1,0.000
2,0.000
3,1.081
4,1.555